Model A:
Computed, not measured: a geometry-optimized NbCuBiIr structure at the PBE-GGA level of DFT.

Output
* calculated volume: 17.765 Å³/atom
* space group: No. 216
* size of the total moment: 0.00 μB/cell

Unit cell a=4.6492 b=4.6492 c=4.6492 alpha=60.00 beta=60.00 gamma=60.00
Fractional positions:
Cu 0.2500 0.2500 0.2500
Bi 0.0000 0.0000 0.0000
Nb 0.7500 0.7500 0.7500
Ir 0.5000 0.5000 0.5000

Model B:
Computed, not measured: a geometry-optimized NbCuBiIr structure at the PBE-GGA level of DFT.

Output
* calculated volume: 17.974 Å³/atom
* space group: No. 216
* size of the total moment: 0.05 μB/cell

Unit cell a=4.6674 b=4.6674 c=4.6674 alpha=60.00 beta=60.00 gamma=60.00
Fractional positions:
Cu 0.7500 0.7500 0.7500
Ir 0.2500 0.2500 0.2500
Nb 0.5000 0.5000 0.5000
Bi 0.0000 0.0000 0.0000

Which structure is most stable? model B, by 3.1 kJ/mol of atoms over the runner-up.

Model A:
Computed, not measured: a geometry-optimized KCuBi structure at the PBE-GGA level of DFT.

Output
* calculated volume: 34.540 Å³/atom
* space group: No. 216

Unit cell a=5.2722 b=5.2722 c=5.2722 alpha=60.00 beta=60.00 gamma=60.00
Fractional positions:
Bi 0.2500 0.2500 0.2500
K 0.0000 0.0000 0.0000
Cu 0.7500 0.7500 0.7500

Model B:
Computed, not measured: a geometry-optimized KCuBi structure at the PBE-GGA level of DFT.

Output
* calculated volume: 29.067 Å³/atom
* space group: No. 216

Unit cell a=4.9775 b=4.9775 c=4.9775 alpha=60.00 beta=60.00 gamma=60.00
Fractional positions:
Cu 0.0000 0.0000 0.0000
Bi 0.2500 0.2500 0.2500
K 0.7500 0.7500 0.7500

Which structure is most stable? model B, by 63.5 kJ/mol of atoms over the runner-up.

Model A:
Computed, not measured: a geometry-optimized LiLuCuBi structure at the PBE-GGA level of DFT.

Output
* calculated volume: 20.134 Å³/atom
* space group: No. 216
* size of the total moment: 0.00 μB/cell

Unit cell a=4.8474 b=4.8474 c=4.8474 alpha=60.00 beta=60.00 gamma=60.00
Fractional positions:
Bi 0.0000 0.0000 0.0000
Cu 0.7500 0.7500 0.7500
Li 0.2500 0.2500 0.2500
Lu 0.5000 0.5000 0.5000

Model B:
Computed, not measured: a geometry-optimized LiLuCuBi structure at the PBE-GGA level of DFT.

Output
* calculated volume: 21.394 Å³/atom
* space group: No. 216
* size of the total moment: 0.00 μB/cell

Unit cell a=4.9464 b=4.9464 c=4.9464 alpha=60.00 beta=60.00 gamma=60.00
Fractional positions:
Bi 0.0000 0.0000 0.0000
Li 0.5000 0.5000 0.5000
Lu 0.2500 0.2500 0.2500
Cu 0.7500 0.7500 0.7500

Which structure is most stable? model A, by 15.1 kJ/mol of atoms over the runner-up.

Model A:
Computed, not measured: a geometry-optimized LiNbCuBi structure at the PBE-GGA level of DFT.

Output
* calculated volume: 18.401 Å³/atom
* space group: No. 216
* size of the total moment: 1.78 μB/cell

Unit cell a=4.7040 b=4.7040 c=4.7040 alpha=60.00 beta=60.00 gamma=60.00
Fractional positions:
Cu 0.7500 0.7500 0.7500
Bi 0.0000 0.0000 0.0000
Nb 0.2500 0.2500 0.2500
Li 0.5000 0.5000 0.5000

Model B:
Computed, not measured: a geometry-optimized LiNbCuBi structure at the PBE-GGA level of DFT.

Output
* calculated volume: 17.867 Å³/atom
* space group: No. 216
* size of the total moment: 2.17 μB/cell

Unit cell a=4.6581 b=4.6581 c=4.6581 alpha=60.00 beta=60.00 gamma=60.00
Fractional positions:
Li 0.2500 0.2500 0.2500
Bi 0.0000 0.0000 0.0000
Nb 0.5000 0.5000 0.5000
Cu 0.7500 0.7500 0.7500

Which structure is most stable? model B, by 3.1 kJ/mol of atoms over the runner-up.

Model A:
Computed, not measured: a geometry-optimized LiCuNiBi structure at the PBE-GGA level of DFT.

Output
* calculated volume: 15.510 Å³/atom
* space group: No. 216
* size of the total moment: 0.00 μB/cell

Unit cell a=4.4436 b=4.4436 c=4.4436 alpha=60.00 beta=60.00 gamma=60.00
Fractional positions:
Bi 0.2500 0.2500 0.2500
Cu 0.0000 0.0000 0.0000
Ni 0.5000 0.5000 0.5000
Li 0.7500 0.7500 0.7500

Model B:
Computed, not measured: a geometry-optimized LiCuNiBi structure at the PBE-GGA level of DFT.

Output
* calculated volume: 14.945 Å³/atom
* space group: No. 216
* size of the total moment: 0.00 μB/cell

Unit cell a=4.3889 b=4.3889 c=4.3889 alpha=60.00 beta=60.00 gamma=60.00
Fractional positions:
Bi 0.2500 0.2500 0.2500
Ni 0.0000 0.0000 0.0000
Li 0.5000 0.5000 0.5000
Cu 0.7500 0.7500 0.7500

Which structure is most stable? model B, by 3.8 kJ/mol of atoms over the runner-up.

Model A:
Computed, not measured: a geometry-optimized LiCuBiPd structure at the PBE-GGA level of DFT.

Output
* calculated volume: 16.633 Å³/atom
* space group: No. 216

Unit cell a=4.5483 b=4.5483 c=4.5483 alpha=60.00 beta=60.00 gamma=60.00
Fractional positions:
Bi 0.0000 0.0000 0.0000
Li 0.2500 0.2500 0.2500
Cu 0.7500 0.7500 0.7500
Pd 0.5000 0.5000 0.5000

Model B:
Computed, not measured: a geometry-optimized LiCuBiPd structure at the PBE-GGA level of DFT.

Output
* calculated volume: 17.368 Å³/atom
* space group: No. 216

Unit cell a=4.6143 b=4.6143 c=4.6143 alpha=60.00 beta=60.00 gamma=60.00
Fractional positions:
Pd 0.2500 0.2500 0.2500
Cu 0.7500 0.7500 0.7500
Bi 0.0000 0.0000 0.0000
Li 0.5000 0.5000 0.5000

Which structure is most stable? model B, by 2.7 kJ/mol of atoms over the runner-up.

Model A:
Computed, not measured: a geometry-optimized LiCuReBi structure at the PBE-GGA level of DFT.

Output
* calculated volume: 16.060 Å³/atom
* space group: No. 216
* size of the total moment: 0.02 μB/cell

Unit cell a=4.4954 b=4.4954 c=4.4954 alpha=60.00 beta=60.00 gamma=60.00
Fractional positions:
Li 0.7500 0.7500 0.7500
Bi 0.0000 0.0000 0.0000
Cu 0.2500 0.2500 0.2500
Re 0.5000 0.5000 0.5000

Model B:
Computed, not measured: a geometry-optimized LiCuReBi structure at the PBE-GGA level of DFT.

Output
* calculated volume: 16.487 Å³/atom
* space group: No. 216
* size of the total moment: 0.00 μB/cell

Unit cell a=4.5349 b=4.5349 c=4.5349 alpha=60.00 beta=60.00 gamma=60.00
Fractional positions:
Cu 0.7500 0.7500 0.7500
Li 0.5000 0.5000 0.5000
Bi 0.0000 0.0000 0.0000
Re 0.2500 0.2500 0.2500

Which structure is most stable? model B, by 7.8 kJ/mol of atoms over the runner-up.

Model A:
Computed, not measured: a geometry-optimized LiScCuBi structure at the PBE-GGA level of DFT.

Output
* calculated volume: 18.578 Å³/atom
* space group: No. 216
* size of the total moment: 0.02 μB/cell

Unit cell a=4.7191 b=4.7191 c=4.7191 alpha=60.00 beta=60.00 gamma=60.00
Fractional positions:
Li 0.2500 0.2500 0.2500
Cu 0.7500 0.7500 0.7500
Sc 0.5000 0.5000 0.5000
Bi 0.0000 0.0000 0.0000

Model B:
Computed, not measured: a geometry-optimized LiScCuBi structure at the PBE-GGA level of DFT.

Output
* calculated volume: 19.227 Å³/atom
* space group: No. 216
* size of the total moment: 0.00 μB/cell

Unit cell a=4.7734 b=4.7734 c=4.7734 alpha=60.00 beta=60.00 gamma=60.00
Fractional positions:
Li 0.7500 0.7500 0.7500
Bi 0.0000 0.0000 0.0000
Sc 0.2500 0.2500 0.2500
Cu 0.5000 0.5000 0.5000

Which structure is most stable? model B, by 15.3 kJ/mol of atoms over the runner-up.